Here is an optimized crystal structure of AlSi2P from Alexandria. Energies are from PBE-GGA.

Cell and atoms, written as CIF:
```
data_AlSi2P
_symmetry_space_group_name_H-M 'I -4 2 d'
_symmetry_Int_Tables_number 122
_symmetry_space_group_name_Hall 'I -4 2bw'
_cell_length_a 5.5622
_cell_length_b 5.5622
_cell_length_c 10.8565
_cell_angle_alpha 90.00
_cell_angle_beta 90.00
_cell_angle_gamma 90.00
loop_
_atom_site_label
_atom_site_fract_x
_atom_site_fract_y
_atom_site_fract_z
_atom_site_occupancy
Al1 0.0000 0.0000 0.0000 1
Si1 0.2286 0.2500 0.6250 1
P1 0.0000 0.0000 0.5000 1
```

The energy above the lowest structure with this stoichiometry comes out at 1 meV per atom. The calculation puts the uncorrected formation energy at 17 meV/atom.